Entry 1:
The following is a DFT calculation (PBE-GGA) of crystalline Ac3CeBi4 at its relaxed geometry.

abc: 6.820 6.820 6.820
angles: 90.00 90.00 90.00
Fractional coordinates of all 8 atoms:
Ac 0.000 0.000 0.500
Ac 0.000 0.500 0.000
Ac 0.500 0.000 0.000
Ce 0.500 0.500 0.500
Bi 0.000 0.000 0.000
Bi 0.000 0.500 0.500
Bi 0.500 0.000 0.500
Bi 0.500 0.500 0.000

Output
offset from the most stable computed form	13	meV/atom
crystal system	cubic
formation energy	-928	meV per atom
DFT total energy	-5.151	eV/atom
volume	317.2	Å³ per cell

Entry 2:
The following is a DFT calculation (PBE-GGA) of crystalline TbTc6 at its relaxed geometry.

abc: 8.489 5.175 10.722
angles: 90.00 90.00 90.00
Fractional coordinates of all 28 atoms:
Tb 0.233 0.250 0.056
Tb 0.267 0.750 0.556
Tb 0.733 0.250 0.444
Tb 0.767 0.750 0.944
Tc 0.070 0.009 0.305
Tc 0.070 0.491 0.305
Tc 0.076 0.750 0.078
Tc 0.079 0.250 0.522
Tc 0.140 0.750 0.852
Tc 0.186 0.250 0.757
Tc 0.314 0.750 0.257
Tc 0.360 0.250 0.352
Tc 0.421 0.750 0.022
Tc 0.424 0.250 0.578
Tc 0.430 0.509 0.805
Tc 0.430 0.991 0.805
Tc 0.570 0.009 0.195
Tc 0.570 0.491 0.195
Tc 0.576 0.750 0.422
Tc 0.579 0.250 0.978
Tc 0.640 0.750 0.648
Tc 0.686 0.250 0.743
Tc 0.814 0.750 0.243
Tc 0.860 0.250 0.148
Tc 0.921 0.750 0.478
Tc 0.924 0.250 0.922
Tc 0.930 0.509 0.695
Tc 0.930 0.991 0.695

Output
offset from the most stable computed form	0	meV/atom
crystal system	orthorhombic
formation energy	16	meV per atom
DFT total energy	-9.530	eV/atom
volume	471.0	Å³ per cell

Entry 3:
The following is a DFT calculation (PBE-GGA) of crystalline Y2GaHIr at its relaxed geometry.

abc: 4.984 4.984 3.627
angles: 90.00 90.00 90.00
Fractional coordinates of all 5 atoms:
Y 0.000 0.500 0.000
Y 0.500 0.000 0.000
Ga 0.000 0.000 0.500
H 0.500 0.500 0.000
Ir 0.500 0.500 0.500

Output
crystal system	tetragonal
DFT total energy	-6.264	eV/atom
volume	90.1	Å³ per cell